Entry 1:
DFT (PBE) results for an optimized crystal structure of RbH2N4.

* DOS at the Fermi energy: 3.54 states/eV/cell

```
RbH2N4
1.0
4.593 -0.813 -0.912
1.075 -3.202 3.344
-3.409 -0.074 -3.310
Rb H N
1 2 4
Cartesian
-1.167 -1.638 0.017
-0.116 -1.436 -2.101
2.374 -2.652 1.223
1.048 -3.219 -0.241
1.211 -0.869 -0.638
0.443 -2.766 1.916
1.815 -1.322 -2.794
```

***

Entry 2:
DFT (PBE) results for an optimized crystal structure of Rb3HN.

* DOS at the Fermi energy: 2.09 states/eV/cell

```
Rb3HN
1.0
-0.123 1.653 -5.414
-1.088 -5.322 -1.600
-5.555 1.005 0.433
H Rb N
1 3 1
Cartesian
-3.383 -1.332 -3.291
-0.544 -2.661 -0.800
-2.778 0.503 0.216
-0.061 0.826 -2.707
0.000 0.000 0.000
```

***

Entry 3:
DFT (PBE) results for an optimized crystal structure of RbH2N.

* DOS at the Fermi energy: 0.00 states/eV/cell

```
RbH2N
1.0
4.797 0.000 0.000
0.000 4.797 0.000
2.399 2.399 3.420
H Rb N
4 2 2
Cartesian
2.399 1.199 0.855
2.399 3.598 0.855
3.598 4.797 2.565
5.997 4.797 2.565
0.000 0.000 0.000
4.797 2.399 1.710
2.399 2.399 0.000
2.399 4.797 1.710
```

***

no.,uncorrected energy (eV per atom)
1,-3.068
2,-2.453
3,-3.741